No. 1
{
  "formula": "CrGeBi2O6",
  "functional": "GGA+U",
  "state": "optimized geometry",
  "volume_a3_per_fu": 131,
  "n_ef_per_ev_atom": 0.000,
  "magnetic_moment_mub_per_fu": 4.0,
  "spacegroup": "P1, No. 1",
  "e_tot_ev_per_atom": -6.37,
  "cell": [[-5.2484, -2.0377, -1.5243], [-2.2984, -4.7316, 2.2439], [-4.1921, 0.5433, 3.6487]],
  "species": ["Cr", "Ge", "Bi", "Bi", "O", "O", "O", "O", "O", "O"],
  "frac_coords": [[0.8037, 0.8025, 0.5695], [0.3178, 0.3135, 0.0515], [0.5216, 0.5301, 0.4032], [0.0288, 0.0271, 0.9032], [0.5725, 0.1530, 0.2712], [0.1684, 0.0316, 0.2437], [0.0104, 0.5986, 0.2444], [0.4619, 0.6240, 0.7964], [0.6478, 0.0981, 0.7798], [0.1286, 0.4830, 0.7523]]
}

No. 2
{
  "formula": "Cr2GeBiO8",
  "functional": "GGA+U",
  "state": "optimized geometry",
  "volume_a3_per_fu": 134,
  "n_ef_per_ev_atom": 0.269,
  "magnetic_moment_mub_per_fu": 5.0,
  "spacegroup": "Cmmm, No. 65",
  "e_tot_ev_per_atom": -6.67,
  "cell": [[4.6457, -0.0388, -0.0031], [0.0084, 4.6440, -0.0051], [0.0041, 0.0067, 6.2206]],
  "species": ["Cr", "Cr", "Ge", "Bi", "O", "O", "O", "O", "O", "O", "O", "O"],
  "frac_coords": [[0.5000, 0.5000, 0.7624], [0.5000, 0.5000, 0.2376], [0.0000, 0.0000, 0.0000], [0.0000, 0.0000, 0.5000], [0.1960, 0.8035, 0.2259], [0.6977, 0.6982, 0.0000], [0.8041, 0.1966, 0.2259], [0.8040, 0.1965, 0.7741], [0.3023, 0.3018, 0.0000], [0.1959, 0.8034, 0.7741], [0.6789, 0.6794, 0.5000], [0.3211, 0.3206, 0.5000]]
}